A geometry-optimized TlTe2Mo structure. Source: the Alexandria database, functional PBE.

The total moment comes out at 13.258 μB/cell. The formation energy from raw total energies comes out at 831 meV/atom.

The space group is F-43m (No. 216) and the conventional cell measures 7.4956, 7.4956 and 7.4956 Å, with angles of 90.00, 90.00 and 90.00 degrees. The inequivalent atoms are Tl at (0.0000, 0.0000, 0.0000), Te at (0.0000, 0.0000, 0.5000), Te at (0.2500, 0.2500, 0.2500) and Mo at (0.2500, 0.2500, 0.7500).



A geometry-optimized TlTeMo structure. Source: the Alexandria database, functional PBE.

The total moment comes out at 2.569 μB/cell. The formation energy from raw total energies comes out at 569 meV/atom. The calculation puts the relative energy among the computed polymorphs at 0.296 eV per atom.

The space group is Fmm2 (No. 42) and the conventional cell measures 3.4812, 5.3263 and 16.3167 Å, with angles of 90.00, 90.00 and 90.00 degrees. The inequivalent atoms are Tl at (0.0000, 0.0000, 0.0000), Te at (0.0000, 0.0000, 0.2763) and Mo at (0.0000, 0.0000, 0.6525).



A geometry-optimized TlTe2Mo structure. Source: the Alexandria database, functional PBE.

The total moment comes out at 0.001 μB/cell. The formation energy from raw total energies comes out at 220 meV/atom.

The space group is R3m (No. 160, hexagonal axes) and the conventional cell measures 3.3756, 3.3756 and 31.8415 Å, with angles of 90.00, 90.00 and 120.00 degrees. The inequivalent atoms are Tl at (0.0000, 0.0000, 0.0000), Te at (0.0000, 0.0000, 0.2461), Te at (0.0000, 0.0000, 0.4621) and Mo at (0.0000, 0.0000, 0.7379).



A geometry-optimized Tl2Te2Mo structure. Source: the Alexandria database, functional PBE.

The total moment comes out at 6.384 μB/cell. The formation energy from raw total energies comes out at 747 meV/atom. The calculation puts the relative energy among the computed polymorphs at 0.000 eV per atom.

The space group is P4/mbm (No. 127) and the conventional cell measures 7.8555, 7.8555 and 4.6092 Å, with angles of 90.00, 90.00 and 90.00 degrees. The inequivalent atoms are Tl at (0.1377, 0.3623, 0.0000), Te at (0.1811, 0.6811, 0.5000) and Mo at (0.0000, 0.0000, 0.0000).



A geometry-optimized TlTe2Mo structure. Source: the Alexandria database, functional PBE.

The total moment comes out at 0.839 μB/cell. The formation energy from raw total energies comes out at 152 meV/atom.

The space group is Cm (No. 8) and the conventional cell measures 10.9786, 3.4643 and 6.9721 Å, with angles of 90.00, 115.83 and 90.00 degrees. The inequivalent atoms are Tl at (0.0000, 0.0000, 0.0000), Te at (0.2125, 0.0000, 0.6952), Te at (0.3791, 0.0000, 0.2954) and Mo at (0.2173, 0.5000, 0.9954).



A geometry-optimized Tl2Te2Mo structure. Source: the Alexandria database, functional PBE.

The total moment comes out at 9.236 μB/cell. The formation energy from raw total energies comes out at 850 meV/atom. The calculation puts the relative energy among the computed polymorphs at 0.104 eV per atom.

The space group is I4/mmm (No. 139) and the conventional cell measures 4.2907, 4.2907 and 17.7378 Å, with angles of 90.00, 90.00 and 90.00 degrees. The inequivalent atoms are Tl at (0.0000, 0.0000, 0.0890), Te at (0.0000, 0.5000, 0.2500) and Mo at (0.0000, 0.0000, 0.5000).



A geometry-optimized TlTeMo2 structure. Source: the Alexandria database, functional PBE.

The total moment comes out at 0.000 μB/cell. The formation energy from raw total energies comes out at 698 meV/atom. The calculation puts the relative energy among the computed polymorphs at 0.413 eV per atom.

The space group is Fm-3m (No. 225) and the conventional cell measures 6.6975, 6.6975 and 6.6975 Å, with angles of 90.00, 90.00 and 90.00 degrees. The inequivalent atoms are Tl at (0.0000, 0.0000, 0.0000), Te at (0.0000, 0.0000, 0.5000) and Mo at (0.2500, 0.2500, 0.2500).



A geometry-optimized TlTeMo2 structure. Source: the Alexandria database, functional PBE.

The total moment comes out at 0.061 μB/cell. The formation energy from raw total energies comes out at 865 meV/atom. The calculation puts the relative energy among the computed polymorphs at 0.580 eV per atom.

The space group is I-4m2 (No. 119) and the conventional cell measures 4.3073, 4.3073 and 8.4602 Å, with angles of 90.00, 90.00 and 90.00 degrees. The inequivalent atoms are Tl at (0.0000, 0.0000, 0.0000), Te at (0.0000, 0.5000, 0.2500), Mo at (0.0000, 0.0000, 0.5000) and Mo at (0.0000, 0.5000, 0.7500).



A geometry-optimized TlTeMo structure. Source: the Alexandria database, functional PBE.

The total moment comes out at 0.001 μB/cell. The formation energy from raw total energies comes out at 325 meV/atom. The calculation puts the relative energy among the computed polymorphs at 0.052 eV per atom.

The space group is I4mm (No. 107) and the conventional cell measures 3.2707, 3.2707 and 13.6183 Å, with angles of 90.00, 90.00 and 90.00 degrees. The inequivalent atoms are Tl at (0.0000, 0.0000, 0.0000), Te at (0.0000, 0.0000, 0.7353) and Mo at (0.0000, 0.0000, 0.3465).



A geometry-optimized TlTe3Mo3 structure. Source: the Alexandria database, functional PBE.

The total moment comes out at 0.000 μB/cell. The formation energy from raw total energies comes out at -290 meV/atom.

The space group is P6_3/m (No. 176) and the conventional cell measures 9.7003, 9.7003 and 4.6148 Å, with angles of 90.00, 90.00 and 120.00 degrees. The inequivalent atoms are Tl at (0.3333, 0.6667, 0.2500), Te at (0.0568, 0.3626, 0.7500) and Mo at (0.0264, 0.1701, 0.2500).



A geometry-optimized TlTeMo2 structure. Source: the Alexandria database, functional PBE.

The total moment comes out at 0.000 μB/cell. The formation energy from raw total energies comes out at 838 meV/atom. The calculation puts the relative energy among the computed polymorphs at 0.553 eV per atom.

The space group is F-43m (No. 216) and the conventional cell measures 6.8173, 6.8173 and 6.8173 Å, with angles of 90.00, 90.00 and 90.00 degrees. The inequivalent atoms are Tl at (0.0000, 0.0000, 0.0000), Te at (0.2500, 0.2500, 0.2500), Mo at (0.0000, 0.0000, 0.5000) and Mo at (0.2500, 0.2500, 0.7500).



A geometry-optimized TlTeMo2 structure. Source: the Alexandria database, functional PBE.

The total moment comes out at 0.000 μB/cell. The formation energy from raw total energies comes out at 284 meV/atom. The calculation puts the relative energy among the computed polymorphs at 0.000 eV per atom.

The space group is P4mm (No. 99) and the conventional cell measures 3.2744, 3.2744 and 8.3117 Å, with angles of 90.00, 90.00 and 90.00 degrees. The inequivalent atoms are Tl at (0.0000, 0.0000, 0.0000), Te at (0.5000, 0.5000, 0.6103), Mo at (0.0000, 0.0000, 0.4062) and Mo at (0.5000, 0.5000, 0.2424).



A geometry-optimized TlTeMo2 structure. Source: the Alexandria database, functional PBE.

The total moment comes out at 0.000 μB/cell. The formation energy from raw total energies comes out at 631 meV/atom. The calculation puts the relative energy among the computed polymorphs at 0.346 eV per atom.

The space group is P2/m (No. 10) and the conventional cell measures 4.2799, 4.6194 and 4.8502 Å, with angles of 90.00, 92.68 and 90.00 degrees. The inequivalent atoms are Tl at (0.0000, 0.0000, 0.0000), Te at (0.5000, 0.0000, 0.5000) and Mo at (0.3405, 0.5000, 0.1730).



A geometry-optimized TlTe2Mo structure. Source: the Alexandria database, functional PBE.

The total moment comes out at 3.785 μB/cell. The formation energy from raw total energies comes out at 515 meV/atom.

The space group is Fm-3m (No. 225) and the conventional cell measures 7.2505, 7.2505 and 7.2505 Å, with angles of 90.00, 90.00 and 90.00 degrees. The inequivalent atoms are Tl at (0.0000, 0.0000, 0.0000), Te at (0.2500, 0.2500, 0.2500) and Mo at (0.0000, 0.0000, 0.5000).



A geometry-optimized TlTeMo2 structure. Source: the Alexandria database, functional PBE.

The total moment comes out at 0.257 μB/cell. The formation energy from raw total energies comes out at 905 meV/atom. The calculation puts the relative energy among the computed polymorphs at 0.620 eV per atom.

The space group is Pmmm (No. 47) and the conventional cell measures 3.4318, 4.4967 and 5.1606 Å, with angles of 90.00, 90.00 and 90.00 degrees. The inequivalent atoms are Tl at (0.0000, 0.0000, 0.0000), Te at (0.5000, 0.0000, 0.5000), Mo at (0.0000, 0.5000, 0.5000) and Mo at (0.5000, 0.5000, 0.0000).



Total energy values (in eV/f.u.) by entry order: -16.2; -14.6; -18.6; -18.1; -18.9; -17.6; -24.4; -23.7; -15.4; -46.3; -23.8; -26.0; -24.6; -17.4; -23.6.